The following is a DFT calculation (PBE-GGA) of Ho3CoCl3 after structural relaxation.

a b c (Å): 3.9052 8.2188 11.3695
angles (deg): 90.41 90.00 90.00
Closest atoms and distances in Å follow each position.
Atoms (fractional coordinates):
Cl 0.7500 0.1226 0.0984  4 Ho 2.81-3.06
Cl 0.7500 0.6685 0.1487  3 Ho 2.73-2.89
Cl 0.2500 0.4308 0.3727  5 Ho 2.90-3.12
Cl 0.2500 0.3315 0.8513  3 Ho 2.73-2.89
Cl 0.7500 0.5692 0.6273  5 Ho 2.90-3.12
Cl 0.2500 0.8774 0.9016  4 Ho 2.81-3.06
Ho 0.2500 0.2750 0.6004  2 Co 2.65, 2 Cl 2.89-2.90
Ho 0.7500 0.7250 0.3996  2 Co 2.65, 2 Cl 2.89-2.90
Ho 0.7500 0.1008 0.8293  1 Co 2.67, 4 Cl 2.73-2.81
Ho 0.7500 0.1466 0.3616  3 Co 2.61-2.78
Ho 0.2500 0.8534 0.6384  3 Co 2.61-2.78
Ho 0.2500 0.8992 0.1707  1 Co 2.67, 4 Cl 2.73-2.81
Co 0.2500 0.9438 0.4036  6 Ho 2.61-2.78
Co 0.7500 0.0562 0.5964  6 Ho 2.61-2.78

Calculated density: 6.0 g/cm³
ΔE_f (raw): -1.397 eV per atom
V: 364.91 Å³ per cell

The following is a DFT calculation (PBE-GGA) of Ho4CoCl5 after structural relaxation.

a b c (Å): 3.7757 8.1287 9.2866
angles (deg): 102.13 101.73 90.00
Closest atoms and distances in Å follow each position.
Atoms (fractional coordinates):
Cl 0.1802 0.8544 0.3603  3 Ho 2.77-3.06
Cl 0.5000 0.5000 0.0000  4 Ho 2.98
Cl 0.8329 0.6750 0.6657  3 Ho 2.72-2.95
Cl 0.8198 0.1456 0.6397  3 Ho 2.77-3.06
Cl 0.1671 0.3250 0.3342  3 Ho 2.72-2.95
Ho 0.0017 0.2167 0.0034  2 Co 2.58
Ho 0.3522 0.9212 0.7043  1 Co 2.63, 4 Cl 2.72-2.77
Ho 0.6478 0.0788 0.2957  1 Co 2.63, 4 Cl 2.72-2.77
Ho 0.9983 0.7833 0.9966  2 Co 2.58
Co 0.5000 0.0000 0.0000  6 Ho 2.58-2.63

Calculated density: 5.5 g/cm³
ΔE_f (raw): -1.580 eV per atom
V: 272.57 Å³ per cell
Energy above the most stable polymorph in this dataset: 0.0 kJ per mole of atoms

| no. | total moment (μB/atom) |
| --- | --- |
| 1 | 0.000 |
| 2 | 0.000 |